Record 1
Here is a relaxed HfTa2Ir2 crystal from the Alexandria database. Energies are from GGA-PBE.

Calculated values
* total DFT energy (no corrections): -10.64 eV/atom
* polymorph energy (0 for the lowest one): 92.4 meV per atom

a = 4.332 Å, b = 4.332 Å, c = 6.089 Å
α = 69.16°, β = 69.16°, γ = 90.00°
Positions (direct):
1 Ta 0.250 0.750 0.500
2 Ta 0.750 0.250 0.500
3 Ir 0.380 0.380 0.240
4 Ir 0.620 0.620 0.760
5 Hf 0.000 0.000 0.000



Record 2
Here is a relaxed Pa2MnCo4Ge3 crystal from the Alexandria database. Energies are from GGA-PBE.

Calculated values
* total DFT energy (no corrections): -7.50 eV/atom

a = 3.917 Å, b = 3.917 Å, c = 10.042 Å
α = 90.00°, β = 90.00°, γ = 90.00°
Each line ends with the local moment (μB).
Positions (direct):
1 Co 0.000 0.000 0.000  -0.06
2 Co 0.500 0.500 0.000  0.01
3 Pa 0.000 0.500 0.746  -0.24
4 Ge 0.000 0.500 0.129  -0.01
5 Co 0.000 0.500 0.362  0.19
6 Mn 0.500 0.500 0.500  2.44
7 Co 0.500 0.000 0.638  0.19
8 Pa 0.500 0.000 0.254  -0.24
9 Ge 0.000 0.000 0.500  -0.06
10 Ge 0.500 0.000 0.871  -0.01